This record from Alexandria via LeMat-Bulk describes a relaxed Ta3AlSe crystal. The functional is GGA-PBE.

Distance to the lowest polymorph of the same formula in eV/atom: 0.000
Formation energy (no corrections) in eV per atom: 0.919
Total moment in μB per cell: 0.0

The structure in CIF format:
```
data_Ta3AlSe
_chemical_formula_sum 'Ta3 Al1 Se1'
_cell_length_a 4.710
_cell_length_b 4.710
_cell_length_c 4.710
_cell_angle_alpha 90.00
_cell_angle_beta 90.00
_cell_angle_gamma 90.00
_space_group_name_H-M_alt 'P m -3 m'
_space_group_IT_number 221
_space_group_name_Hall '-P 4 2 3'
loop_
_atom_site_label
_atom_site_type_symbol
_atom_site_fract_x
_atom_site_fract_y
_atom_site_fract_z
Ta1 Ta 0.000 0.000 0.500
Al1 Al 0.500 0.500 0.500
Se1 Se 0.000 0.000 0.000
```

This record from Alexandria via LeMat-Bulk describes a relaxed TaAlSe2 crystal. The functional is GGA-PBE.

Formation energy (no corrections) in eV per atom: -0.323
Total moment in μB per cell: 0.0

The structure in CIF format:
```
data_TaAlSe2
_chemical_formula_sum 'Ta2 Al2 Se4'
_cell_length_a 9.861
_cell_length_b 3.253
_cell_length_c 7.200
_cell_angle_alpha 90.00
_cell_angle_beta 112.57
_cell_angle_gamma 90.00
_space_group_name_H-M_alt 'C 1 m 1'
_space_group_IT_number 8
_space_group_name_Hall 'C -2y'
loop_
_atom_site_label
_atom_site_type_symbol
_atom_site_fract_x
_atom_site_fract_y
_atom_site_fract_z
Ta1 Ta 0.000 0.000 0.000
Al1 Al 0.232 0.500 0.999
Se1 Se 0.316 0.000 0.746
Se2 Se 0.458 0.000 0.253
```

This record from Alexandria via LeMat-Bulk describes a relaxed Ta2AlSe crystal. The functional is GGA-PBE.

Distance to the lowest polymorph of the same formula in eV/atom: 0.482
Formation energy (no corrections) in eV per atom: 0.308
Total moment in μB per cell: 0.1

The structure in CIF format:
```
data_Ta2AlSe
_chemical_formula_sum 'Ta8 Al4 Se4'
_cell_length_a 6.559
_cell_length_b 6.559
_cell_length_c 6.559
_cell_angle_alpha 90.00
_cell_angle_beta 90.00
_cell_angle_gamma 90.00
_space_group_name_H-M_alt 'F -4 3 m'
_space_group_IT_number 216
_space_group_name_Hall 'F -4 2 3'
loop_
_atom_site_label
_atom_site_type_symbol
_atom_site_fract_x
_atom_site_fract_y
_atom_site_fract_z
Ta1 Ta 0.000 0.000 0.000
Ta2 Ta 0.250 0.250 0.250
Al1 Al 0.250 0.250 0.750
Se1 Se 0.000 0.000 0.500
```

This record from Alexandria via LeMat-Bulk describes a relaxed TaAlSe2 crystal. The functional is GGA-PBE.

Formation energy (no corrections) in eV per atom: -0.331
Total moment in μB per cell: 1.2

The structure in CIF format:
```
data_TaAlSe2
_chemical_formula_sum 'Ta3 Al3 Se6'
_cell_length_a 3.4200
_cell_length_b 3.4200
_cell_length_c 26.1473
_cell_angle_alpha 90.00
_cell_angle_beta 90.00
_cell_angle_gamma 120.00
_space_group_name_H-M_alt 'R 3 m'
_space_group_IT_number 160
_space_group_name_Hall 'R 3 -2"'
loop_
_atom_site_label
_atom_site_type_symbol
_atom_site_fract_x
_atom_site_fract_y
_atom_site_fract_z
Ta1 Ta 0.0000 0.0000 0.0000
Al1 Al 0.0000 0.0000 0.7526
Se1 Se 0.0000 0.0000 0.2705
Se2 Se 0.0000 0.0000 0.4748
```